A relaxed V2Cu3O8 crystal, computed with GGA+U.

* total DFT energy (no corrections): -165.176 eV per cell

Structure (CIF):
```
data_V2Cu3O8
_space_group_name_H-M_alt 'P 1 21/c 1'
_space_group_IT_number 14
_space_group_name_Hall '-P 2ybc'
_cell_length_a 6.2986
_cell_length_b 8.0164
_cell_length_c 6.6994
_cell_angle_alpha 90.00
_cell_angle_beta 108.90
_cell_angle_gamma 90.00
loop_
_atom_site_label
_atom_site_fract_x
_atom_site_fract_y
_atom_site_fract_z
V1 0.2446 0.1162 0.3495
Cu1 0.2372 0.7434 0.1037
Cu2 0.5000 0.0000 0.0000
O1 0.0093 0.7218 0.2348
O2 0.2522 0.5073 0.0589
O3 0.2700 0.5107 0.6389
O4 0.4703 0.2345 0.9435
```